Here is crystalline Mg3Sc3In2 at its relaxed geometry from the Alexandria database. Energies are from PBE-GGA.

Calculated values
Its formation energy is -197 kJ/mol of formula units.

Cell: 4.683 4.729 8.100 Å, 90.00 90.00 90.00°
Each line ends with the local moment (μB).
Fractional positions:
1 Sc 0.500 0.000 0.000  -0.01
2 Mg 0.500 0.500 0.755  0.00
3 In 0.000 0.000 0.750  -0.01
4 Mg 0.500 0.500 0.245  0.00
5 Sc 0.000 0.500 0.500  0.23
6 Sc 0.500 0.000 0.500  0.19
7 Mg 0.000 0.500 0.000  0.00
8 In 0.000 0.000 0.250  -0.01